DFT (PBE-GGA) results for crystalline Rb3Sc3VTe8 at its relaxed geometry.

a = 8.313 Å, b = 8.315 Å, c = 10.056 Å
α = 114.43°, β = 90.00°, γ = 119.99°
Atoms (fractional coordinates):
Sc  0.000  0.500  0.500
Sc  0.500  0.000  0.500
Sc  0.500  0.500  0.500
Te  0.778  0.556  0.316
Te  0.269  0.539  0.309
Te  0.778  0.038  0.316
Te  0.740  0.962  0.684
Te  0.222  0.962  0.684
Te  0.260  0.038  0.316
Te  0.731  0.461  0.691
Te  0.222  0.444  0.684
V  0.000  0.000  0.500
Rb  0.000  0.000  0.000
Rb  0.500  0.500  0.000
Rb  0.000  0.500  0.000

Output
- Total magnetization: 1.50 μB per formula unit
- Raw formation energy: -1.013 eV per atom
- DOS(E_F): 0.520 states/eV/atom
- Total energy: -4.76 eV per atom

---

DFT (PBE-GGA) results for crystalline Rb2ScZn2Te4 at its relaxed geometry.

a = 4.486 Å, b = 8.545 Å, c = 8.524 Å
α = 108.19°, β = 105.26°, γ = 90.00°
Atoms (fractional coordinates):
Te  0.804  0.829  0.608
Te  0.487  0.228  0.974
Te  0.513  0.772  0.026
Te  0.196  0.171  0.392
Zn  0.326  0.020  0.653
Zn  0.674  0.980  0.347
Rb  0.870  0.437  0.740
Rb  0.130  0.563  0.260
Sc  0.000  0.000  0.000

Output
- Total magnetization: 0.60 μB per formula unit
- Raw formation energy: -0.807 eV per atom
- DOS(E_F): 0.395 states/eV/atom
- Total energy: -3.41 eV per atom

---

DFT (PBE-GGA) results for crystalline Rb3Zr2ScTe6 at its relaxed geometry.

a = 7.359 Å, b = 7.359 Å, c = 8.983 Å
α = 97.85°, β = 97.85°, γ = 119.99°
Atoms (fractional coordinates):
Rb  0.167  0.833  0.500
Rb  0.833  0.167  0.500
Rb  0.500  0.500  0.500
Te  0.398  0.065  0.194
Te  0.732  0.732  0.195
Te  0.065  0.398  0.194
Te  0.602  0.935  0.806
Te  0.268  0.268  0.805
Te  0.935  0.602  0.806
Sc  0.000  0.000  0.000
Zr  0.334  0.666  0.000
Zr  0.666  0.334  0.000

Output
- Total magnetization: 0.61 μB per formula unit
- Raw formation energy: -1.031 eV per atom
- DOS(E_F): 0.603 states/eV/atom
- Total energy: -4.80 eV per atom

---

DFT (PBE-GGA) results for crystalline Rb4ZrSc3Te8 at its relaxed geometry.

a = 8.618 Å, b = 9.883 Å, c = 8.620 Å
α = 115.88°, β = 119.99°, γ = 90.00°
Atoms (fractional coordinates):
Sc  0.500  0.500  0.000
Sc  0.000  0.500  0.500
Sc  0.500  0.500  0.500
Rb  0.000  0.000  0.000
Rb  0.500  0.000  0.500
Rb  0.500  0.000  0.000
Rb  0.000  0.000  0.500
Te  0.231  0.692  0.962
Te  0.230  0.692  0.461
Te  0.730  0.690  0.461
Te  0.269  0.308  0.038
Te  0.270  0.310  0.539
Te  0.769  0.308  0.038
Te  0.770  0.308  0.539
Te  0.731  0.692  0.962
Zr  0.000  0.500  0.000

Output
- Total magnetization: 0.44 μB per formula unit
- Raw formation energy: -1.157 eV per atom
- DOS(E_F): 0.336 states/eV/atom
- Total energy: -4.69 eV per atom

---

Number 1: ρ 4.59 g/cm3. Number 2: ρ 4.77 g/cm3. Number 3: ρ 5.12 g/cm3. Number 4: ρ 4.80 g/cm3.